MnPRh2 SCAN single point on PBEsol structure; VASP energy = -24.247 eV/atom; SG = No. 99; formation energy = -0.198 eV per atom; DOS at the Fermi energy = 1.06 states/eV per atom
1.0
2.743 0.000 0.000
0.000 2.743 0.000
0.000 0.000 6.389
Mn P Rh
1 1 2
direct
0.000 0.000 0.539 Mn
0.500 0.500 0.730 P
0.000 0.000 0.958 Rh
0.500 0.500 0.272 Rh

=====

LiMn2Pb SCAN single point on PBEsol structure; VASP energy = -28.570 eV/atom; SG = No. 12; formation energy = 0.100 eV per atom; DOS at the Fermi energy = 0.54 states/eV per atom
1.0
-1.671 -2.255 -1.036
2.541 0.509 -4.081
2.771 -2.243 4.167
Li Mn Pb
1 2 1
direct
0.000 0.500 0.000 Li
0.000 0.000 0.500 Mn
0.500 0.500 0.500 Mn
0.500 0.000 0.000 Pb

=====

CaZr2 SCAN single point on PBEsol structure; VASP energy = -23.364 eV/atom; SG = No. 71; formation energy = 0.323 eV per atom; DOS at the Fermi energy = 1.17 states/eV per atom
1.0
-0.426 -2.523 -1.930
3.782 -1.736 1.435
-4.381 -0.464 4.234
Ca Zr
1 2
direct
0.000 0.000 0.000 Ca
0.308 0.308 0.617 Zr
0.692 0.692 0.383 Zr

=====

SiPWSe2 SCAN single point on PBEsol structure; VASP energy = -24.488 eV/atom; ΔE_f (raw) = 7.82 eV per formula unit; SG = No. 123; DOS at the Fermi energy = 0.77 states/eV per atom
1.0
-3.382 -2.785 1.466
2.098 -0.391 4.098
-2.399 3.749 1.587
P Si Se W
1 1 2 1
direct
0.500 0.500 0.500 P
0.000 0.000 0.000 Si
0.000 0.500 0.000 Se
0.500 0.000 0.000 Se
0.000 0.000 0.500 W